# 1
# MgCr2GaRe PBE optimized geometry
data_MgCr2GaRe
_chemical_formula_sum 'Mg1 Cr2 Ga1 Re1'
_space_group_name_H-M_alt 'P 1'
_space_group_IT_number 1
_cell_length_a 4.316
_cell_length_b 4.316
_cell_length_c 4.360
_cell_angle_alpha 90.00
_cell_angle_beta 90.00
_cell_angle_gamma 90.00
loop_
_space_group_symop_operation_xyz
'x,y,z'
loop_
_atom_site_label
_atom_site_type_symbol
_atom_site_fract_x
_atom_site_fract_y
_atom_site_fract_z
Mg1 Mg 0.000 0.000 0.000
Cr1 Cr 0.000 0.500 0.000
Cr2 Cr 0.500 0.000 0.000
Ga1 Ga 0.000 0.000 0.500
Re1 Re 0.500 0.500 0.500
# **N(E_F)**: 12.2 states/eV/cell
# **E_form**: 2.1771 eV/atom
# **E**: -25.43 eV/cell
# **Calculated volume**: 16.2 Å³/atom
# **Total magnetic moment**: 1.54 Bohr magnetons per cell


# 2
# Na2Zn2GePd5 PBE optimized geometry
data_Na2Zn2GePd5
_chemical_formula_sum 'Na4 Zn4 Ge2 Pd10'
_space_group_name_H-M_alt 'P 1'
_space_group_IT_number 1
_cell_length_a 10.015
_cell_length_b 10.015
_cell_length_c 3.386
_cell_angle_alpha 90.00
_cell_angle_beta 90.00
_cell_angle_gamma 90.00
loop_
_space_group_symop_operation_xyz
'x,y,z'
loop_
_atom_site_label
_atom_site_type_symbol
_atom_site_fract_x
_atom_site_fract_y
_atom_site_fract_z
Na1 Na 0.172 0.328 0.000
Na2 Na 0.328 0.828 0.000
Na3 Na 0.672 0.172 0.000
Na4 Na 0.828 0.672 0.000
Zn1 Zn 0.132 0.632 0.000
Zn2 Zn 0.368 0.132 0.000
Zn3 Zn 0.632 0.868 0.000
Zn4 Zn 0.868 0.368 0.000
Ge1 Ge 0.000 0.000 0.000
Ge2 Ge 0.500 0.500 0.000
Pd1 Pd 0.000 0.500 0.500
Pd2 Pd 0.058 0.807 0.500
Pd3 Pd 0.193 0.058 0.500
Pd4 Pd 0.307 0.558 0.500
Pd5 Pd 0.442 0.307 0.500
Pd6 Pd 0.500 0.000 0.500
Pd7 Pd 0.558 0.693 0.500
Pd8 Pd 0.693 0.442 0.500
Pd9 Pd 0.807 0.942 0.500
Pd10 Pd 0.942 0.193 0.500
# **N(E_F)**: 9.0 states/eV/cell
# **E_form**: -0.3569 eV/atom
# **E**: -78.67 eV/cell
# **Calculated volume**: 17.0 Å³/atom
# **Total magnetic moment**: 0.00 Bohr magnetons per cell


# 3
# Sc3Tl PBE optimized geometry
data_Sc3Tl
_chemical_formula_sum 'Sc12 Tl4'
_space_group_name_H-M_alt 'P 1'
_space_group_IT_number 1
_cell_length_a 7.202
_cell_length_b 7.202
_cell_length_c 7.202
_cell_angle_alpha 90.00
_cell_angle_beta 90.00
_cell_angle_gamma 90.00
loop_
_space_group_symop_operation_xyz
'x,y,z'
loop_
_atom_site_label
_atom_site_type_symbol
_atom_site_fract_x
_atom_site_fract_y
_atom_site_fract_z
Sc1 Sc 0.000 0.000 0.000
Sc2 Sc 0.000 0.500 0.500
Sc3 Sc 0.250 0.250 0.250
Sc4 Sc 0.250 0.250 0.750
Sc5 Sc 0.250 0.750 0.250
Sc6 Sc 0.250 0.750 0.750
Sc7 Sc 0.500 0.000 0.500
Sc8 Sc 0.500 0.500 0.000
Sc9 Sc 0.750 0.250 0.250
Sc10 Sc 0.750 0.250 0.750
Sc11 Sc 0.750 0.750 0.250
Sc12 Sc 0.750 0.750 0.750
Tl1 Tl 0.000 0.000 0.500
Tl2 Tl 0.000 0.500 0.000
Tl3 Tl 0.500 0.000 0.000
Tl4 Tl 0.500 0.500 0.500
# **N(E_F)**: 23.4 states/eV/cell
# **E_form**: -0.0609 eV/atom
# **E**: -86.42 eV/cell
# **Calculated volume**: 23.3 Å³/atom
# **Total magnetic moment**: 7.28 Bohr magnetons per cell


# 4
# Pm5Nd2Dy12 PBE optimized geometry
data_Pm5Nd2Dy12
_chemical_formula_sum 'Pm5 Nd2 Dy12'
_space_group_name_H-M_alt 'P 1'
_space_group_IT_number 1
_cell_length_a 6.137
_cell_length_b 8.912
_cell_length_c 11.792
_cell_angle_alpha 91.31
_cell_angle_beta 103.21
_cell_angle_gamma 96.28
loop_
_space_group_symop_operation_xyz
'x,y,z'
loop_
_atom_site_label
_atom_site_type_symbol
_atom_site_fract_x
_atom_site_fract_y
_atom_site_fract_z
Pm1 Pm 0.000 0.000 0.000
Pm2 Pm 0.167 0.844 0.525
Pm3 Pm 0.458 0.694 0.049
Pm4 Pm 0.542 0.306 0.951
Pm5 Pm 0.833 0.156 0.475
Nd1 Nd 0.214 0.473 0.421
Nd2 Nd 0.786 0.527 0.579
Dy1 Dy 0.014 0.737 0.214
Dy2 Dy 0.092 0.378 0.113
Dy3 Dy 0.254 0.104 0.314
Dy4 Dy 0.333 0.942 0.827
Dy5 Dy 0.351 0.574 0.734
Dy6 Dy 0.416 0.211 0.634
Dy7 Dy 0.584 0.789 0.366
Dy8 Dy 0.649 0.426 0.266
Dy9 Dy 0.667 0.058 0.173
Dy10 Dy 0.746 0.896 0.686
Dy11 Dy 0.908 0.622 0.887
Dy12 Dy 0.986 0.263 0.786
# **N(E_F)**: 27.1 states/eV/cell
# **E_form**: 0.0508 eV/atom
# **E**: -87.55 eV/cell
# **Calculated volume**: 32.8 Å³/atom
# **Offset from the most stable computed form**: 0.00 kcal/mol of atoms
# **Total magnetic moment**: 0.00 Bohr magnetons per cell


# 5
# Tb2Tm5Tl PBE optimized geometry
data_Tb2Tm5Tl
_chemical_formula_sum 'Tb4 Tm10 Tl2'
_space_group_name_H-M_alt 'P 1'
_space_group_IT_number 1
_cell_length_a 6.914
_cell_length_b 13.889
_cell_length_c 4.905
_cell_angle_alpha 90.00
_cell_angle_beta 90.00
_cell_angle_gamma 90.00
loop_
_space_group_symop_operation_xyz
'x,y,z'
loop_
_atom_site_label
_atom_site_type_symbol
_atom_site_fract_x
_atom_site_fract_y
_atom_site_fract_z
Tb1 Tb 0.244 0.128 0.000
Tb2 Tb 0.256 0.628 0.000
Tb3 Tb 0.744 0.372 0.000
Tb4 Tb 0.756 0.872 0.000
Tm1 Tm 0.000 0.000 0.500
Tm2 Tm 0.003 0.255 0.500
Tm3 Tm 0.245 0.875 0.000
Tm4 Tm 0.255 0.375 0.000
Tm5 Tm 0.497 0.755 0.500
Tm6 Tm 0.500 0.500 0.500
Tm7 Tm 0.503 0.245 0.500
Tm8 Tm 0.745 0.625 0.000
Tm9 Tm 0.755 0.125 0.000
Tm10 Tm 0.997 0.745 0.500
Tl1 Tl 0.000 0.500 0.500
Tl2 Tl 0.500 0.000 0.500
# **N(E_F)**: 22.2 states/eV/cell
# **E_form**: -0.0504 eV/atom
# **E**: -68.77 eV/cell
# **Calculated volume**: 29.4 Å³/atom
# **Offset from the most stable computed form**: 0.05 kcal/mol of atoms
# **Total magnetic moment**: 0.00 Bohr magnetons per cell


# 6
# Th7Fe3 PBE optimized geometry
data_Th7Fe3
_chemical_formula_sum 'Th14 Fe6'
_space_group_name_H-M_alt 'P 1'
_space_group_IT_number 1
_cell_length_a 9.662
_cell_length_b 9.662
_cell_length_c 6.238
_cell_angle_alpha 90.00
_cell_angle_beta 90.00
_cell_angle_gamma 120.00
loop_
_space_group_symop_operation_xyz
'x,y,z'
loop_
_atom_site_label
_atom_site_type_symbol
_atom_site_fract_x
_atom_site_fract_y
_atom_site_fract_z
Th1 Th 0.085 0.542 0.000
Th2 Th 0.125 0.249 0.696
Th3 Th 0.125 0.875 0.696
Th4 Th 0.249 0.125 0.196
Th5 Th 0.333 0.667 0.477
Th6 Th 0.458 0.542 0.000
Th7 Th 0.458 0.915 0.000
Th8 Th 0.542 0.085 0.500
Th9 Th 0.542 0.458 0.500
Th10 Th 0.667 0.333 0.977
Th11 Th 0.751 0.875 0.696
Th12 Th 0.875 0.125 0.196
Th13 Th 0.875 0.751 0.196
Th14 Th 0.915 0.458 0.500
Fe1 Fe 0.185 0.369 0.237
Fe2 Fe 0.185 0.815 0.237
Fe3 Fe 0.369 0.185 0.737
Fe4 Fe 0.631 0.815 0.237
Fe5 Fe 0.815 0.185 0.737
Fe6 Fe 0.815 0.631 0.737
# **N(E_F)**: 23.8 states/eV/cell
# **E_form**: -0.1201 eV/atom
# **E**: -157.06 eV/cell
# **Calculated volume**: 25.2 Å³/atom
# **Total magnetic moment**: 0.00 Bohr magnetons per cell


# 7
# VCo2Tc PBE optimized geometry
data_VCo2Tc
_chemical_formula_sum 'V1 Co2 Tc1'
_space_group_name_H-M_alt 'P 1'
_space_group_IT_number 1
_cell_length_a 2.578
_cell_length_b 2.578
_cell_length_c 7.261
_cell_angle_alpha 90.00
_cell_angle_beta 90.00
_cell_angle_gamma 90.00
loop_
_space_group_symop_operation_xyz
'x,y,z'
loop_
_atom_site_label
_atom_site_type_symbol
_atom_site_fract_x
_atom_site_fract_y
_atom_site_fract_z
V1 V 0.000 0.000 0.000
Co1 Co 0.500 0.500 0.247
Co2 Co 0.500 0.500 0.753
Tc1 Tc 0.000 0.000 0.500
# **N(E_F)**: 3.4 states/eV/cell
# **E_form**: -0.0688 eV/atom
# **E**: -33.97 eV/cell
# **Calculated volume**: 12.1 Å³/atom
# **Offset from the most stable computed form**: 1.17 kcal/mol of atoms
# **Total magnetic moment**: 0.00 Bohr magnetons per cell


# 8
# TlInOs2Br PBE optimized geometry
data_TlInOs2Br
_chemical_formula_sum 'Tl1 In1 Os2 Br1'
_space_group_name_H-M_alt 'P 1'
_space_group_IT_number 1
_cell_length_a 4.612
_cell_length_b 4.612
_cell_length_c 6.002
_cell_angle_alpha 90.00
_cell_angle_beta 90.00
_cell_angle_gamma 90.00
loop_
_space_group_symop_operation_xyz
'x,y,z'
loop_
_atom_site_label
_atom_site_type_symbol
_atom_site_fract_x
_atom_site_fract_y
_atom_site_fract_z
Tl1 Tl 0.000 0.000 0.000
In1 In 0.500 0.500 0.000
Os1 Os 0.000 0.500 0.500
Os2 Os 0.500 0.000 0.500
Br1 Br 0.000 0.000 0.500
# **N(E_F)**: 5.5 states/eV/cell
# **E**: -20.00 eV/cell
# **Calculated volume**: 25.5 Å³/atom
# **Total magnetic moment**: 0.83 Bohr magnetons per cell